Record 1
Density functional theory data (PBE) for an optimized crystal structure of RbHfGe2.

Cell lengths 6.003, 6.003, 9.558 Å; angles 71.70, 71.70, 90.00 degrees
Sites, in units of the cell vectors:
Ge: 0.375 0.151 0.750
Ge: 0.849 0.125 0.250
Ge: 0.901 0.625 0.250
Ge: 0.875 0.099 0.750
Hf: 0.000 0.000 0.000
Hf: 0.750 0.250 0.500
Rb: 0.500 0.500 0.000
Rb: 0.250 0.750 0.500

Calculated values
Its calculated volume is 309 Å³ per cell. The density of states at the Fermi level comes out at 0.43 states/eV/atom. As for the magnetization: 0.00 Bohr magnetons per cell. As for the formation enthalpy at 0 K: 0.242 eV/atom.


Record 2
Density functional theory data (PBE) for an optimized crystal structure of Rb2HfGeS4.

Cell lengths 6.750, 7.838, 12.227 Å; angles 83.17, 73.98, 64.49 degrees
Sites, in units of the cell vectors:
S: 0.265 0.812 0.108
S: 0.627 0.188 0.108
S: 0.485 0.688 0.392
S: 0.923 0.812 0.892
S: 0.184 0.188 0.892
S: 0.566 0.312 0.608
S: 0.827 0.688 0.608
S: 0.123 0.312 0.392
Ge: 0.500 0.000 0.000
Ge: 0.250 0.500 0.500
Hf: 0.750 0.500 0.500
Hf: 0.000 0.000 0.000
Rb: 0.931 0.500 0.138
Rb: 0.569 0.500 0.862
Rb: 0.181 0.000 0.638
Rb: 0.819 0.000 0.362

Calculated values
Its calculated volume is 561 Å³ per cell. The density of states at the Fermi level comes out at 0.00 states/eV/atom. The uncorrected formation energy is -1086.4 meV/atom. As for the magnetization: 0.00 Bohr magnetons per cell.


Record 3
Density functional theory data (PBE) for an optimized crystal structure of RbHfGeSe2.

Cell lengths 5.488, 5.066, 5.488 Å; angles 90.00, 90.00, 90.00 degrees
Sites, in units of the cell vectors:
Se: 0.500 0.000 0.000
Se: 0.000 0.000 0.500
Hf: 0.000 0.500 0.000
Rb: 0.500 0.500 0.500
Ge: 0.000 0.000 0.000

Calculated values
Its calculated volume is 153 Å³ per cell. The density of states at the Fermi level comes out at 1.30 states/eV/atom. The uncorrected formation energy is 221.6 meV/atom. As for the magnetization: 0.00 Bohr magnetons per cell.


Record 4
Density functional theory data (PBE) for an optimized crystal structure of Rb2HfGeSe4.

Cell lengths 6.973, 8.004, 12.685 Å; angles 83.12, 74.05, 64.17 degrees
Sites, in units of the cell vectors:
Se: 0.269 0.805 0.111
Se: 0.566 0.305 0.611
Se: 0.481 0.695 0.389
Se: 0.184 0.195 0.889
Se: 0.824 0.695 0.611
Se: 0.130 0.305 0.389
Se: 0.620 0.195 0.111
Se: 0.926 0.805 0.889
Rb: 0.181 0.000 0.638
Rb: 0.931 0.500 0.138
Rb: 0.819 0.000 0.362
Rb: 0.569 0.500 0.862
Ge: 0.250 0.500 0.500
Ge: 0.500 0.000 0.000
Hf: 0.000 0.000 0.000
Hf: 0.750 0.500 0.500

Calculated values
Its calculated volume is 613 Å³ per cell. The density of states at the Fermi level comes out at 0.00 states/eV/atom. The uncorrected formation energy is -1015.0 meV/atom. As for the magnetization: 0.00 Bohr magnetons per cell.


Record 5
Density functional theory data (PBE) for an optimized crystal structure of RbHf2GeTe.

Cell lengths 5.228, 5.285, 5.228 Å; angles 90.00, 90.00, 90.00 degrees
Sites, in units of the cell vectors:
Rb: 0.000 0.000 0.000
Hf: 0.000 0.000 0.500
Hf: 0.500 0.000 0.000
Te: 0.500 0.500 0.500
Ge: 0.000 0.500 0.000

Calculated values
Its calculated volume is 144 Å³ per cell. The density of states at the Fermi level comes out at 1.08 states/eV/atom. The uncorrected formation energy is 2109.6 meV/atom. As for the magnetization: 0.00 Bohr magnetons per cell.


Record 6
Density functional theory data (PBE) for an optimized crystal structure of RbHf2TlGe.

Cell lengths 5.148, 6.146, 5.148 Å; angles 90.00, 90.00, 90.00 degrees
Sites, in units of the cell vectors:
Ge: 0.000 0.000 0.000
Tl: 0.500 0.500 0.500
Hf: 0.500 0.000 0.000
Hf: 0.000 0.000 0.500
Rb: 0.000 0.500 0.000

Calculated values
Its calculated volume is 163 Å³ per cell. The density of states at the Fermi level comes out at 1.66 states/eV/atom. As for the magnetization: 0.00 Bohr magnetons per cell. As for the formation enthalpy at 0 K: 0.732 eV/atom.